A relaxed Er2GaNi4P3 crystal, computed with PBE.

As for the energy of formation from the pure elements: -938 meV per atom. Its volume is 14.43 Å³/atom. As for the density of states at the Fermi level: 3.256 states/eV per cell.

The structure belongs to space group P-4m2 (No. 115); the cell edges are 3.8493, 3.8493 and 9.7357 Å and the angles 90.00°, 90.00° and 90.00°. The inequivalent atoms are Er at (0.0000, 0.5000, 0.2391), Ga at (0.0000, 0.0000, 0.5000), Ni at (0.0000, 0.0000, 0.0000), Ni at (0.0000, 0.5000, 0.6392), Ni at (0.5000, 0.5000, 0.0000), P at (0.0000, 0.5000, 0.8675) and P at (0.5000, 0.5000, 0.5000).

=====

A relaxed ErGa4Ni2Pd crystal, computed with PBE.

As for the energy of formation from the pure elements: -485 meV per atom. Its volume is 16.07 Å³/atom. As for the density of states at the Fermi level: 15.624 states/eV per cell.

The structure belongs to space group R-3m (No. 166, hexagonal axes); the cell edges are 4.1371, 4.1371 and 26.0186 Å and the angles 90.00°, 90.00° and 120.00°. The inequivalent atoms are Er at (0.0000, 0.0000, 0.0000), Ga at (0.0000, 0.0000, 0.1258), Ga at (0.0000, 0.0000, 0.3990), Ni at (0.0000, 0.0000, 0.2365) and Pd at (0.0000, 0.0000, 0.5000).

=====

A relaxed Er2Ga4NiPd3 crystal, computed with PBE.

As for the energy of formation from the pure elements: -710 meV per atom. Its volume is 17.96 Å³/atom. As for the density of states at the Fermi level: 6.012 states/eV per cell.

The structure belongs to space group P-4m2 (No. 115); the cell edges are 3.9633, 3.9633 and 11.4327 Å and the angles 90.00°, 90.00° and 90.00°. The inequivalent atoms are Er at (0.0000, 0.5000, 0.2448), Ga at (0.0000, 0.0000, 0.5000), Ga at (0.0000, 0.5000, 0.8697), Ga at (0.5000, 0.5000, 0.5000), Ni at (0.5000, 0.5000, 0.0000), Pd at (0.0000, 0.0000, 0.0000) and Pd at (0.0000, 0.5000, 0.6503).

=====

A relaxed Er2Ga4Ni3Pd crystal, computed with PBE.

As for the energy of formation from the pure elements: -630 meV per atom. Its volume is 16.67 Å³/atom. As for the density of states at the Fermi level: 4.282 states/eV per cell.

The structure belongs to space group P-4m2 (No. 115); the cell edges are 3.9625, 3.9625 and 10.6152 Å and the angles 90.00°, 90.00° and 90.00°. The inequivalent atoms are Er at (0.0000, 0.5000, 0.2361), Ga at (0.0000, 0.0000, 0.0000), Ga at (0.0000, 0.5000, 0.6412), Ga at (0.5000, 0.5000, 0.0000), Ni at (0.0000, 0.5000, 0.8639), Ni at (0.5000, 0.5000, 0.5000) and Pd at (0.0000, 0.0000, 0.5000).

=====

A relaxed ErGaNiPd crystal, computed with PBE.

As for the energy of formation from the pure elements: -615 meV per atom. Its volume is 16.70 Å³/atom. As for the density of states at the Fermi level: 12.464 states/eV per cell.

The structure belongs to space group F-43m (No. 216); the cell edges are 6.4412, 6.4412 and 6.4412 Å and the angles 90.00°, 90.00° and 90.00°. The inequivalent atoms are Er at (0.0000, 0.0000, 0.0000), Ga at (0.0000, 0.0000, 0.5000), Ni at (0.2500, 0.2500, 0.7500) and Pd at (0.2500, 0.2500, 0.2500).

=====

A relaxed PmErGa2Ni2 crystal, computed with PBE.

As for the energy of formation from the pure elements: -590 meV per atom. Its volume is 19.10 Å³/atom. As for the density of states at the Fermi level: 5.181 states/eV per cell.

The structure belongs to space group P-3m1 (No. 164); the cell edges are 4.2825, 4.2825 and 7.2169 Å and the angles 90.00°, 90.00° and 120.00°. The inequivalent atoms are Pm at (0.0000, 0.0000, 0.0000), Er at (0.0000, 0.0000, 0.5000), Ga at (0.3333, 0.6667, 0.2678) and Ni at (0.3333, 0.6667, 0.7258).

=====

A relaxed ErGa3NiPt crystal, computed with PBE.

As for the energy of formation from the pure elements: -531 meV per atom. Its volume is 17.52 Å³/atom. As for the density of states at the Fermi level: 12.383 states/eV per cell.

The structure belongs to space group Cmcm (No. 63); the cell edges are 6.0185, 12.1810 and 5.7357 Å and the angles 90.00°, 90.00° and 90.00°. The inequivalent atoms are Er at (0.0000, 0.2270, 0.2500), Ga at (0.0000, 0.3579, 0.7500), Ga at (0.2091, 0.0000, 0.0000), Ni at (0.0000, 0.4399, 0.2500) and Pt at (0.0000, 0.1541, 0.7500).

=====

A relaxed ErGa4Ni2Pt crystal, computed with PBE.

As for the energy of formation from the pure elements: -492 meV per atom. Its volume is 16.15 Å³/atom. As for the density of states at the Fermi level: 13.080 states/eV per cell.

The structure belongs to space group R-3m (No. 166, hexagonal axes); the cell edges are 4.1435, 4.1435 and 26.0690 Å and the angles 90.00°, 90.00° and 120.00°. The inequivalent atoms are Er at (0.0000, 0.0000, 0.0000), Ga at (0.0000, 0.0000, 0.1255), Ga at (0.0000, 0.0000, 0.3983), Ni at (0.0000, 0.0000, 0.2361) and Pt at (0.0000, 0.0000, 0.5000).